# 1
TbGa3Rh3 | PBE | optimized geometry

Output
Total moment: 0.000 μB per atom
Density of states at the Fermi level: 8.232 states/eV per cell
Crystal system: cubic

Lattice parameters (Å, degrees): 6.6848 6.6848 6.6848 90.00 90.00 90.00
Fractional positions:
Tb 0.0000 0.0000 0.0000
Tb 0.5000 0.5000 0.5000
Ga 0.0000 0.2500 0.5000
Ga 0.0000 0.7500 0.5000
Ga 0.2500 0.5000 0.0000
Ga 0.5000 0.0000 0.2500
Ga 0.5000 0.0000 0.7500
Ga 0.7500 0.5000 0.0000
Rh 0.0000 0.5000 0.2500
Rh 0.0000 0.5000 0.7500
Rh 0.2500 0.0000 0.5000
Rh 0.5000 0.2500 0.0000
Rh 0.5000 0.7500 0.0000
Rh 0.7500 0.0000 0.5000



# 2
TbGa8Rh2 | PBE | optimized geometry

Output
Total moment: 0.000 μB per atom
Density of states at the Fermi level: 4.613 states/eV per cell
Crystal system: monoclinic

Lattice parameters (Å, degrees): 6.6820 6.6820 4.8027 97.54 97.54 101.05
Fractional positions:
Tb 0.0000 0.0000 0.0000
Ga 0.0992 0.3509 0.6119
Ga 0.2944 0.7056 0.0000
Ga 0.3509 0.0992 0.6119
Ga 0.3738 0.3738 0.2278
Ga 0.6262 0.6262 0.7722
Ga 0.6491 0.9008 0.3881
Ga 0.7056 0.2944 0.0000
Ga 0.9008 0.6491 0.3881
Rh 0.2849 0.7151 0.5000
Rh 0.7151 0.2849 0.5000



Calculated formation energy for every record listed, in sequence, given in eV/atom: -0.190, -0.396.